Entry 1:
Ga2IrPd: optimized geometry, GGA-PBE.

Summary:
D(E_F) (states/eV per cell): 5.17
Energy of formation (eV/atom): -0.095
Spin magnetization (μB/f.u.): 0.00
Mass density (g cm⁻³): 10.74

a b c (Å): 8.8650 8.8650 8.8650
angles (deg): 153.81 153.81 37.37
Fractional coordinates of all 8 atoms:
Ga 0.1131 0.6250 0.9881
Ga 0.3750 0.3631 0.4881
Ga 0.6369 0.1250 0.0119
Ga 0.8750 0.8869 0.5119
Ir 0.0000 0.0000 0.0000
Ir 0.7500 0.2500 0.5000
Pd 0.2500 0.7500 0.5000
Pd 0.5000 0.5000 0.0000



Entry 2:
Na3TeO3: optimized geometry, GGA-PBE.

Summary:
D(E_F) (states/eV per cell): 3.69
Spin magnetization (μB/f.u.): 0.00
Uncorrected formation energy (eV per atom): -1.212
Mass density (g cm⁻³): 3.21

a b c (Å): 7.8599 7.8599 4.7303
angles (deg): 90.00 90.00 120.01
Fractional coordinates of all 14 atoms:
Na 0.1608 0.8392 0.7500
Na 0.1616 0.3223 0.7500
Na 0.3223 0.1616 0.2500
Na 0.6777 0.8384 0.7500
Na 0.8384 0.6777 0.2500
Na 0.8392 0.1608 0.2500
Te 0.3331 0.6669 0.2500
Te 0.6669 0.3331 0.7500
O 0.1837 0.8163 0.2500
O 0.1846 0.3684 0.2500
O 0.3684 0.1846 0.7500
O 0.6316 0.8154 0.2500
O 0.8154 0.6316 0.7500
O 0.8163 0.1837 0.7500



Entry 3:
TeSeCl: optimized geometry, GGA-PBE.

Summary:
Spin magnetization (μB/f.u.): 0.00
Uncorrected formation energy (eV per atom): -0.161
Mass density (g cm⁻³): 3.01

a b c (Å): 5.4623 5.5873 9.5240
angles (deg): 85.50 82.61 67.90
Fractional coordinates of all 6 atoms:
Te 0.0366 0.4221 0.1903
Te 0.9634 0.5779 0.8097
Se 0.0899 0.3311 0.5918
Se 0.9101 0.6689 0.4082
Cl 0.3407 0.7165 0.8136
Cl 0.6593 0.2835 0.1864



Entry 4:
U3P4Ru2: optimized geometry, GGA-PBE.

Summary:
D(E_F) (states/eV per cell): 17.95
Energy of formation (eV/atom): -0.750
Spin magnetization (μB/f.u.): 5.47
Mass density (g cm⁻³): 10.55

a b c (Å): 7.4196 7.4196 6.1808
angles (deg): 110.23 110.23 31.03
Fractional coordinates of all 9 atoms:
U 0.0000 0.0000 0.0000
U 0.1352 0.1352 0.5689
U 0.8648 0.8648 0.4311
P 0.2109 0.2109 0.2143
P 0.4851 0.4851 0.2999
P 0.5149 0.5149 0.7001
P 0.7891 0.7891 0.7857
Ru 0.3233 0.3233 0.0038
Ru 0.6767 0.6767 0.9962



Entry 5:
SrAcLa4: optimized geometry, GGA-PBE.

Summary:
D(E_F) (states/eV per cell): 8.79
Energy of formation (eV/atom): 0.160
Spin magnetization (μB/f.u.): 0.00
Mass density (g cm⁻³): 5.82

a b c (Å): 7.0550 7.0550 7.0550
angles (deg): 60.00 60.00 60.00
Fractional coordinates of all 6 atoms:
Sr 0.0000 0.0000 0.0000
Ac 0.7500 0.7500 0.7500
La 0.3813 0.3813 0.3813
La 0.3813 0.3813 0.8561
La 0.3813 0.8561 0.3813
La 0.8561 0.3813 0.3813



Entry 6:
TaReAsSe2: optimized geometry, GGA-PBE.

Summary:
D(E_F) (states/eV per cell): 5.98
Spin magnetization (μB/f.u.): 3.02
Uncorrected formation energy (eV per atom): 1.165
Mass density (g cm⁻³): 8.84

a b c (Å): 4.8458 4.8458 4.8013
angles (deg): 90.00 90.00 90.00
Fractional coordinates of all 5 atoms:
Ta 0.0000 0.0000 0.0000
Re 0.5000 0.5000 0.5000
As 0.5000 0.5000 0.0000
Se 0.0000 0.5000 0.5000
Se 0.5000 0.0000 0.5000



Entry 7:
BAsP2Cl: optimized geometry, GGA-PBE.

Summary:
D(E_F) (states/eV per cell): 1.06
Spin magnetization (μB/f.u.): 0.00
Uncorrected formation energy (eV per atom): -0.072
Mass density (g cm⁻³): 2.60

a b c (Å): 4.6495 3.3855 7.6662
angles (deg): 90.00 104.65 90.00
Fractional coordinates of all 5 atoms:
B 0.0000 0.0000 0.0000
As 0.2304 0.0000 0.7801
P 0.7887 0.5000 0.9014
P 0.8946 0.5000 0.6328
Cl 0.1944 0.0000 0.2329



Entry 8:
PmPaOs: optimized geometry, GGA-PBE.

Summary:
D(E_F) (states/eV per cell): 2.70
Energy of formation (eV/atom): -0.153
Spin magnetization (μB/f.u.): 0.00
Mass density (g cm⁻³): 13.22

a b c (Å): 6.1385 6.1385 6.1385
angles (deg): 146.24 146.24 48.49
Fractional coordinates of all 3 atoms:
Pm 0.0000 0.0000 0.0000
Pa 0.2978 0.2978 0.0000
Os 0.6913 0.6913 0.0000



Entry 9:
Cr2BIr8: optimized geometry, GGA-PBE.

Summary:
D(E_F) (states/eV per cell): 8.61
Energy of formation (eV/atom): -0.098
Spin magnetization (μB/f.u.): 0.57
Mass density (g cm⁻³): 18.39

a b c (Å): 7.2203 7.2203 7.2203
angles (deg): 145.13 135.66 57.61
Fractional coordinates of all 11 atoms:
Cr 0.1888 0.1888 0.0000
Cr 0.8112 0.8112 0.0000
B 0.5000 0.5000 0.0000
Ir 0.1123 0.3699 0.7424
Ir 0.2486 0.0000 0.2486
Ir 0.3151 0.8151 0.5000
Ir 0.3725 0.6301 0.7424
Ir 0.6275 0.3699 0.2576
Ir 0.6849 0.1849 0.5000
Ir 0.7514 0.0000 0.7514
Ir 0.8877 0.6301 0.2576



Entry 10:
CuH8Br2O4: optimized geometry, GGA-PBE.

Summary:
Calculated total energy (eV/atom): -4.495
D(E_F) (states/eV per cell): 0.18
Spin magnetization (μB/f.u.): 1.01
Mass density (g cm⁻³): 2.76

a b c (Å): 4.2496 7.1316 12.0961
angles (deg): 90.00 104.28 90.00
Fractional coordinates of all 30 atoms:
Cu 0.0000 0.0000 0.0000
Cu 0.0000 0.5000 0.5000
H 0.0011 0.0200 0.7876
H 0.0011 0.4800 0.2876
H 0.2173 0.6846 0.1914
H 0.2173 0.8154 0.6914
H 0.2416 0.0217 0.6430
H 0.2416 0.4783 0.1430
H 0.3723 0.5045 0.7047
H 0.3723 0.9955 0.2047
H 0.6277 0.0045 0.7953
H 0.6277 0.4955 0.2953
H 0.7584 0.5217 0.8570
H 0.7584 0.9783 0.3570
H 0.7827 0.1846 0.3086
H 0.7827 0.3154 0.8086
H 0.9989 0.5200 0.7124
H 0.9989 0.9800 0.2124
Br 0.3845 0.2426 0.5204
Br 0.3845 0.2574 0.0204
Br 0.6155 0.7426 0.9796
Br 0.6155 0.7574 0.4796
O 0.1573 0.5645 0.6675
O 0.1573 0.9355 0.1675
O 0.2548 0.5506 0.2140
O 0.2548 0.9494 0.7140
O 0.7452 0.0506 0.2860
O 0.7452 0.4494 0.7860
O 0.8427 0.0645 0.8325
O 0.8427 0.4355 0.3325



Entry 11:
TlHgSN2: optimized geometry, GGA-PBE.

Summary:
D(E_F) (states/eV per cell): 2.05
Spin magnetization (μB/f.u.): 3.75
Uncorrected formation energy (eV per atom): 1.662
Mass density (g cm⁻³): 7.33

a b c (Å): 4.4503 4.4503 5.3199
angles (deg): 90.00 90.00 90.00
Fractional coordinates of all 5 atoms:
Tl 0.0000 0.0000 0.0000
Hg 0.5000 0.5000 0.5000
S 0.5000 0.5000 0.0000
N 0.0000 0.5000 0.5000
N 0.5000 0.0000 0.5000



Entry 12:
Fe3Ni5: optimized geometry, GGA-PBE.

Summary:
D(E_F) (states/eV per cell): 20.99
Energy of formation (eV/atom): 0.195
Spin magnetization (μB/f.u.): 11.46
Mass density (g cm⁻³): 8.11

a b c (Å): 6.9299 6.9299 4.5411
angles (deg): 90.00 90.00 59.95
Fractional coordinates of all 16 atoms:
Fe 0.0931 0.4999 0.2500
Fe 0.0929 0.9071 0.7500
Fe 0.4999 0.0931 0.7500
Fe 0.5001 0.9069 0.2500
Fe 0.9071 0.0929 0.2500
Fe 0.9069 0.5001 0.7500
Ni 0.1665 0.1665 0.0000
Ni 0.1665 0.1665 0.5000
Ni 0.2800 0.5002 0.7500
Ni 0.2802 0.7198 0.2500
Ni 0.5002 0.2800 0.2500
Ni 0.4998 0.7200 0.7500
Ni 0.7198 0.2802 0.7500
Ni 0.7200 0.4998 0.2500
Ni 0.8335 0.8335 0.0000
Ni 0.8335 0.8335 0.5000



Entry 13:
Co3Ni2: optimized geometry, GGA-PBE.

Summary:
D(E_F) (states/eV per cell): 5.47
Energy of formation (eV/atom): 0.002
Spin magnetization (μB/f.u.): 6.42
Mass density (g cm⁻³): 8.95

a b c (Å): 10.2783 10.2783 10.2783
angles (deg): 13.91 13.91 13.91
Fractional coordinates of all 5 atoms:
Co 0.0000 0.0000 0.0000
Co 0.3996 0.3996 0.3996
Co 0.6004 0.6004 0.6004
Ni 0.2004 0.2004 0.2004
Ni 0.7996 0.7996 0.7996



Entry 14:
AlFe2As: optimized geometry, GGA-PBE.

Summary:
D(E_F) (states/eV per cell): 0.51
Energy of formation (eV/atom): -0.130
Spin magnetization (μB/f.u.): 0.00
Mass density (g cm⁻³): 7.50

a b c (Å): 4.0582 4.0582 4.0582
angles (deg): 60.00 60.00 60.00
Fractional coordinates of all 4 atoms:
Al 0.0000 0.0000 0.0000
Fe 0.2500 0.2500 0.2500
Fe 0.7500 0.7500 0.7500
As 0.5000 0.5000 0.5000



Entry 15:
Rb2SiF6: optimized geometry, GGA-PBE.

Summary:
D(E_F) (states/eV per cell): 0.00
Spin magnetization (μB/f.u.): 0.13
Uncorrected formation energy (eV per atom): -3.127
Mass density (g cm⁻³): 3.29

a b c (Å): 6.0331 7.6526 7.8298
angles (deg): 90.00 119.04 90.00
Fractional coordinates of all 18 atoms:
Rb 0.1816 0.0621 0.3226
Rb 0.1816 0.4379 0.8226
Rb 0.8184 0.5621 0.1774
Rb 0.8184 0.9379 0.6774
Si 0.5000 0.0000 0.0000
Si 0.5000 0.5000 0.5000
F 0.2404 0.1031 0.9910
F 0.2404 0.3969 0.4910
F 0.3460 0.6979 0.4594
F 0.3460 0.8021 0.9594
F 0.3699 0.0291 0.7512
F 0.3699 0.4709 0.2512
F 0.6301 0.5291 0.7488
F 0.6301 0.9709 0.2488
F 0.6540 0.1979 0.0406
F 0.6540 0.3021 0.5406
F 0.7596 0.6031 0.5090
F 0.7596 0.8969 0.0090



Entry 16:
Th6Tc2OsCl3: optimized geometry, GGA-PBE.

Summary:
D(E_F) (states/eV per cell): 6.24
Spin magnetization (μB/f.u.): 0.00
Uncorrected formation energy (eV per atom): -0.780
Mass density (g cm⁻³): 9.12

a b c (Å): 9.9598 9.9598 9.0269
angles (deg): 109.41 109.41 24.04
Fractional coordinates of all 12 atoms:
Th 0.0139 0.0139 0.2192
Th 0.3206 0.3206 0.4477
Th 0.3447 0.3447 0.8818
Th 0.6553 0.6553 0.1182
Th 0.6794 0.6794 0.5523
Th 0.9861 0.9861 0.7808
Tc 0.1663 0.1663 0.3340
Tc 0.8337 0.8337 0.6660
Os 0.5000 0.5000 0.0000
Cl 0.1689 0.1689 0.8360
Cl 0.5000 0.5000 0.5000
Cl 0.8311 0.8311 0.1640



Entry 17:
TmU5N6: optimized geometry, GGA-PBE.

Summary:
D(E_F) (states/eV per cell): 22.11
Spin magnetization (μB/f.u.): 6.25
Uncorrected formation energy (eV per atom): -1.380
Mass density (g cm⁻³): 13.98

a b c (Å): 5.9365 5.9365 5.9529
angles (deg): 99.60 99.60 119.96
Fractional coordinates of all 12 atoms:
Tm 0.0000 0.0000 0.0000
U 0.1654 0.8346 0.5000
U 0.3336 0.6664 0.0000
U 0.5000 0.5000 0.5000
U 0.6664 0.3336 0.0000
U 0.8346 0.1654 0.5000
N 0.0821 0.4153 0.2469
N 0.2498 0.2498 0.7532
N 0.4153 0.0821 0.2469
N 0.5847 0.9179 0.7531
N 0.7502 0.7502 0.2468
N 0.9179 0.5847 0.7531



Entry 18:
KRb2BeSi: optimized geometry, GGA-PBE.

Summary:
D(E_F) (states/eV per cell): 4.04
Spin magnetization (μB/f.u.): 1.61
Uncorrected formation energy (eV per atom): 1.297
Mass density (g cm⁻³): 1.46

a b c (Å): 7.0591 7.0591 5.6329
angles (deg): 90.00 90.00 90.00
Fractional coordinates of all 5 atoms:
K 0.0000 0.0000 0.0000
Rb 0.0000 0.5000 0.0000
Rb 0.5000 0.0000 0.0000
Be 0.0000 0.0000 0.5000
Si 0.5000 0.5000 0.5000



Entry 19:
GaTe2H: optimized geometry, GGA-PBE.

Summary:
Calculated total energy (eV/atom): -3.036
D(E_F) (states/eV per cell): 0.04
Spin magnetization (μB/f.u.): 0.00
Mass density (g cm⁻³): 5.44

a b c (Å): 7.1469 7.1469 7.1469
angles (deg): 131.77 131.77 70.59
Fractional coordinates of all 8 atoms:
Ga 0.0000 0.0000 0.0000
Ga 0.7500 0.2500 0.5000
Te 0.1658 0.6250 0.0408
Te 0.3750 0.4158 0.5408
Te 0.5842 0.1250 0.9592
Te 0.8750 0.8342 0.4592
H 0.2500 0.7500 0.5000
H 0.5000 0.5000 0.0000



Entry 20:
PmSm2Ga2Ag2: optimized geometry, GGA-PBE.

Summary:
D(E_F) (states/eV per cell): 5.26
Energy of formation (eV/atom): -0.377
Spin magnetization (μB/f.u.): 0.00
Mass density (g cm⁻³): 7.74

a b c (Å): 9.5013 9.5013 9.5013
angles (deg): 28.43 28.43 28.43
Fractional coordinates of all 7 atoms:
Pm 0.0000 0.0000 0.0000
Sm 0.1258 0.1258 0.1258
Sm 0.8742 0.8742 0.8742
Ga 0.2592 0.2592 0.2592
Ga 0.7408 0.7408 0.7408
Ag 0.3990 0.3990 0.3990
Ag 0.6010 0.6010 0.6010